Record 1
Below is a relaxed structure of TaRuN, with properties calculated at the PBE level.

Cell lengths 2.9550, 5.4900, 5.4919 Å; angles 62.69, 85.73, 85.74 degrees
Closest atoms and distances in Å follow each position.
Sites, in units of the cell vectors:
Ru 0.7642 0.3178 0.2563  1 N 2.35, 2 Ta 2.60
N 0.0213 0.0734 0.0113  4 Ta 2.10, 1 Ru 2.21
Ru 0.0776 0.8372 0.7753  2 N 2.03-2.21
Ta 0.5303 0.3047 0.7278  4 N 2.10-2.16
Ta 0.5302 0.7898 0.2426  4 N 2.10-2.16
N 0.0176 0.6229 0.5607  1 Ru 2.03, 4 Ta 2.13-2.16

Values from the calculation:
* E: -61.346 eV per cell
* space group: Cm, No. 8
* size of the total moment: 0.0004 μB per atom
* volume: 13.14 Å³ per atom



Record 2
Below is a relaxed structure of CsMoPS2, with properties calculated at the PBE level.

Cell lengths 5.1625, 5.1625, 5.5092 Å; angles 90.00, 90.00, 90.00 degrees
Closest atoms and distances in Å follow each position.
Sites, in units of the cell vectors:
P 0.0000 0.0000 0.5000  2 Cs 2.75
S 0.5000 0.0000 0.0000  2 Cs 2.58
Mo 0.5000 0.5000 0.5000  4 P 3.65, 8 S 3.78
Cs 0.0000 0.0000 0.0000  4 S 2.58, 2 P 2.75
S 0.0000 0.5000 0.0000  2 Cs 2.58

Values from the calculation:
* E: -12.953 eV per cell
* space group: P4/mmm, No. 123
* size of the total moment: 0.0506 μB per atom
* volume: 29.37 Å³ per atom



Computed ρ (g/cm3) in order:
12.5 3.7
Computed D(E_F) (states/eV/atom) in order:
0.4186 1.7794
Computed E_form (uncorrected) (meV/atom) in order:
-406 2479